! PBE-GGA CaCd3Ga, optimized geometry; values from VASP
&SYSTEM
  ibrav = 0, nat = 20, ntyp = 3
/
ATOMIC_SPECIES
Ca 40.08 Ca.upf
Cd 112.41 Cd.upf
Ga 69.72 Ga.upf
CELL_PARAMETERS angstrom
7.475 -4.888 0.000
7.475 4.888 0.000
-1.506 0.000 6.497
ATOMIC_POSITIONS crystal
Ca 0.041 0.959 0.750
Ca 0.358 0.642 0.250
Ca 0.642 0.358 0.750
Ca 0.959 0.041 0.250
Cd 0.004 0.331 0.610
Cd 0.012 0.330 0.056
Cd 0.297 0.323 0.400
Cd 0.323 0.297 0.900
Cd 0.330 0.012 0.556
Cd 0.331 0.004 0.110
Cd 0.669 0.996 0.890
Cd 0.670 0.988 0.444
Cd 0.677 0.703 0.100
Cd 0.703 0.677 0.600
Cd 0.988 0.670 0.944
Cd 0.996 0.669 0.390
Ga 0.248 0.578 0.722
Ga 0.422 0.752 0.778
Ga 0.578 0.248 0.222
Ga 0.752 0.422 0.278
! - Symmetry: No. 15
! - DOS at the Fermi energy: 7.79 states/eV/cell
! - Formation energy from the elements: -0.217 eV per atom
! - ΔE to the lowest computed polymorph: 0 meV/atom
! - ρ: 6.3 Mg/m³

! PBE-GGA MgAlBi, optimized geometry; values from VASP
&SYSTEM
  ibrav = 0, nat = 6, ntyp = 3
/
ATOMIC_SPECIES
Mg 24.30 Mg.upf
Al 26.98 Al.upf
Bi 208.98 Bi.upf
CELL_PARAMETERS angstrom
5.004 0.000 0.000
0.000 5.004 0.000
0.000 0.000 6.553
ATOMIC_POSITIONS crystal
Mg 0.250 0.250 0.227
Mg 0.750 0.750 0.773
Al 0.250 0.750 0.500
Al 0.750 0.250 0.500
Bi 0.250 0.250 0.755
Bi 0.750 0.750 0.245
! - Symmetry: No. 129
! - DOS at the Fermi energy: 2.20 states/eV/cell
! - Formation energy from the elements: 0.132 eV per atom
! - ΔE to the lowest computed polymorph: 91 meV/atom
! - ρ: 5.3 Mg/m³

! PBE-GGA SmY2Se4, optimized geometry; values from VASP
&SYSTEM
  ibrav = 0, nat = 14, ntyp = 3
/
ATOMIC_SPECIES
Sm 150.36 Sm.upf
Y 88.91 Y.upf
Se 78.96 Se.upf
CELL_PARAMETERS angstrom
15.366 0.000 0.000
0.000 4.127 0.000
-3.152 0.000 6.417
ATOMIC_POSITIONS crystal
Sm 0.000 0.000 0.000
Sm 0.500 0.500 0.000
Y 0.235 0.500 0.726
Y 0.265 0.000 0.274
Y 0.735 0.000 0.726
Y 0.765 0.500 0.274
Se 0.126 0.000 0.449
Se 0.138 0.500 0.992
Se 0.362 0.000 0.008
Se 0.374 0.500 0.551
Se 0.626 0.500 0.449
Se 0.638 0.000 0.992
Se 0.862 0.500 0.008
Se 0.874 0.000 0.551
! - Symmetry: No. 12
! - DOS at the Fermi energy: 5.40 states/eV/cell
! - ΔE to the lowest computed polymorph: 19 meV/atom
! - ρ: 5.3 Mg/m³
! - Energy relative to the elements, uncorrected: -178.03 kJ/mol of atoms